Mg3FeN: relaxed, GGA-PBE.

Output
The calculation puts the distance to the lowest polymorph of the same formula at 1415.1 meV per atom. Its formation energy from raw total energies is 7.34 eV per formula unit. The total DFT energy (no corrections) is -2.85 eV per atom.

abc: 4.9394 4.9394 4.9394
angles: 90.00 90.00 90.00
Closest atoms and distances in Å follow each position.
Space group Pm-3m (No. 221)
Unique sites:
Mg: 0.0000 0.0000 0.5000  2 Fe 2.47
Fe: 0.0000 0.0000 0.0000  6 Mg 2.47
N: 0.5000 0.5000 0.5000  12 Mg 3.49